Record 1
Compound: Be4VW
Source: Alexandria via LeMat-Bulk
Functional: PBE
Structure: optimized geometry

a b c (Å): 4.407 4.407 4.407
angles (deg): 60.00 60.00 60.00
Fractional positions:
V: 0.250 0.250 0.250
Be: 0.124 0.625 0.625
Be: 0.625 0.625 0.124
Be: 0.625 0.625 0.625
Be: 0.625 0.124 0.625
W: 0.000 0.000 0.000

The formation energy is -0.27 eV per atom. The total magnetization is 0.00 μB per atom. The total energy comes out at -38.6 eV/f.u. As for the calculated volume: 10.09 Å³ per atom. Its density of states at the Fermi level is 0.565 states/eV per atom.

***

Record 2
Compound: YSc2Ag
Source: Alexandria via LeMat-Bulk
Functional: PBE
Structure: optimized geometry

a b c (Å): 6.247 6.247 5.140
angles (deg): 65.71 65.71 32.75
Fractional positions:
Y: 0.750 0.750 0.750
Sc: 0.531 0.531 0.469
Sc: 0.969 0.969 0.031
Ag: 0.250 0.250 0.250

The formation energy is -0.11 eV per atom. The total magnetization is 0.00 μB per atom. The total energy comes out at -22.4 eV/f.u. The calculation puts the distance to the lowest polymorph of the same formula at 0.000 eV/atom. As for the calculated volume: 24.51 Å³ per atom. Its density of states at the Fermi level is 1.840 states/eV per atom.

***

Record 3
Compound: Th5TlTc
Source: Alexandria via LeMat-Bulk
Functional: PBE
Structure: optimized geometry

a b c (Å): 4.938 4.938 8.485
angles (deg): 90.00 90.00 90.00
Fractional positions:
Th: 0.000 0.500 0.205
Th: 0.500 0.000 0.795
Th: 0.500 0.500 0.500
Th: 0.500 0.000 0.205
Th: 0.000 0.500 0.795
Tc: 0.500 0.500 0.000
Tl: 0.000 0.000 0.500

The formation energy is 0.00 eV per atom. The total magnetization is 0.00 μB per atom. The total energy comes out at -49.8 eV/f.u. As for the calculated volume: 29.55 Å³ per atom. Its density of states at the Fermi level is 1.412 states/eV per atom.